Material: NbV2Cr
Method: DFT, PBE
State: optimized geometry

Lattice parameters (Å, degrees): 4.313 4.313 4.313 60.00 60.00 60.00
Fractional coordinates of all 4 atoms:
Nb 0.500 0.500 0.500
V 0.750 0.750 0.750
V 0.250 0.250 0.250
Cr 0.000 0.000 0.000

Computed properties:
size of the total moment: 0.0 μB per formula unit
mass density: 7.2 Mg/m³
symmetry: Fm-3m (225)
excess energy over the best structure of this formula in the dataset: 35 meV per atom
formation energy: 0.056 eV per atom